# 1
Here is a relaxed PrBe2BOs2 crystal from Alexandria. Energies are from PBE-GGA.

calculated formation energy: -0.29 eV/atom
SG: P4/mmm (123)

abc: 4.135 4.135 5.345
angles: 90.00 90.00 90.00
Positions (direct):
Be 0.500 0.500 0.780
Be 0.500 0.500 0.220
Os 0.500 0.000 0.000
Os 0.000 0.500 0.000
B 0.000 0.000 0.000
Pr 0.000 0.000 0.500

# 2
Here is a relaxed LaSi3OsRu crystal from Alexandria. Energies are from PBE-GGA.

formation energy (no corrections): -0.467 eV/atom
SG: Cmcm (63)

abc: 5.630 7.505 6.744
angles: 123.81 90.00 90.00
Positions (direct):
Ru 0.750 0.946 0.891
Ru 0.250 0.054 0.109
Si 0.500 0.752 0.000
Si 0.000 0.248 0.000
Si 0.500 0.248 0.000
Si 0.000 0.752 0.000
Si 0.250 0.250 0.500
Si 0.750 0.750 0.500
Os 0.750 0.552 0.104
Os 0.250 0.448 0.896
La 0.750 0.251 0.502
La 0.250 0.749 0.498

# 3
Here is a relaxed CaIr2S crystal from Alexandria. Energies are from PBE-GGA.

formation energy (no corrections): -0.092 eV/atom
SG: I-42d (122)

abc: 7.326 7.326 5.931
angles: 51.86 51.86 90.00
Positions (direct):
Ir 0.513 0.125 0.250
Ir 0.875 0.763 0.750
Ir 0.375 0.487 0.750
Ir 0.237 0.625 0.250
S 0.250 0.750 0.500
S 0.500 0.500 0.000
Ca 0.750 0.250 0.500
Ca 0.000 0.000 0.000

# 4
Here is a relaxed RbLaBr2 crystal from Alexandria. Energies are from PBE-GGA.

formation energy (no corrections): -0.990 eV/atom
distance to the lowest polymorph of the same formula: 0.3037 eV per atom
SG: Fm-3m (225)

abc: 5.547 5.547 5.547
angles: 60.00 60.00 60.00
Positions (direct):
Br 0.250 0.250 0.250
Br 0.750 0.750 0.750
Rb 0.000 0.000 0.000
La 0.500 0.500 0.500

# 5
Here is a relaxed Li4DyPd5 crystal from Alexandria. Energies are from PBE-GGA.

calculated formation energy: -0.50 eV/atom
SG: P4/mmm (123)

abc: 3.178 3.178 15.160
angles: 90.00 90.00 90.00
Positions (direct):
Pd 0.500 0.500 0.687
Pd 0.500 0.500 0.123
Pd 0.500 0.500 0.877
Pd 0.500 0.500 0.313
Pd 0.500 0.500 0.500
Li 0.000 0.000 0.407
Li 0.000 0.000 0.593
Li 0.000 0.000 0.777
Li 0.000 0.000 0.223
Dy 0.000 0.000 0.000

# 6
Here is a relaxed ZrInBi2O6 crystal from Alexandria. Energies are from PBE-GGA.

formation energy (no corrections): -1.734 eV/atom
SG: R3 (146)

abc: 5.961 5.961 5.865
angles: 59.46 59.46 59.98
Positions (direct):
O 0.655 0.110 0.769
O 0.589 0.171 0.271
O 0.110 0.466 0.769
O 0.171 0.968 0.271
O 0.969 0.590 0.270
O 0.466 0.655 0.769
Bi 0.530 0.530 0.411
Bi 0.058 0.057 0.827
Zr 0.300 0.300 0.100
In 0.814 0.814 0.558

# 7
Here is a relaxed HgSeOF2 crystal from Alexandria. Energies are from PBE-GGA.

formation energy (no corrections): -0.640 eV/atom
distance to the lowest polymorph of the same formula: 0.0000 eV per atom
SG: P4/mmm (123)

abc: 4.606 4.606 3.760
angles: 90.00 90.00 90.00
Positions (direct):
Hg 0.500 0.500 0.500
Se 0.000 0.000 0.000
O 0.000 0.000 0.500
F 0.000 0.500 0.000
F 0.500 0.000 0.000

What did we get for E_tot? Answer: -7.18, -7.42, -6.06, -3.30, -4.32, -6.61, -3.14 eV per atom, in the order shown.